[1]
## SrSi3 (PBE-GGA)

Data for crystalline SrSi3 at its relaxed geometry.

Formation energy (no corrections) in meV per atom: -156
M_tot in μB per atom: 0.000
Energy in eV/atom: -4.644

Cell: 6.4656 6.4656 4.7603 Å, 90.00 90.00 120.00°
Space group P6_3/mmc (No. 194)
Asymmetric unit:
Sr1 0.3333 0.6667 0.2500
Si1 0.1264 0.2528 0.7500

***

[2]
## Sr5Si4 (PBE-GGA)

Data for crystalline Sr5Si4 at its relaxed geometry.

Formation energy (no corrections) in meV per atom: -144
Polymorph energy (0 for the lowest one) in meV/atom: 268
M_tot in μB per atom: 0.000
Energy in eV/atom: -3.488

Cell: 9.4047 9.4047 7.0501 Å, 90.00 90.00 120.00°
Space group P6_3/mcm (No. 193)
Asymmetric unit:
Sr1 0.0000 0.2763 0.2500
Sr2 0.3333 0.6667 0.0000
Si1 0.0000 0.0000 0.0000
Si2 0.0000 0.3812 0.7500

***

[3]
## Sr5Si4 (PBE-GGA)

Data for crystalline Sr5Si4 at its relaxed geometry.

Formation energy (no corrections) in meV per atom: 179
Polymorph energy (0 for the lowest one) in meV/atom: 590
M_tot in μB per atom: 0.000
Energy in eV/atom: -3.166

Cell: 9.657 9.657 5.692 Å, 90.00 90.00 90.00°
Space group I4/mmm (No. 139)
Asymmetric unit:
Sr1 0.000 0.000 0.000
Sr2 0.182 0.182 0.500
Si1 0.000 0.372 0.000

***

[4]
## SrSi5 (PBE-GGA)

Data for crystalline SrSi5 at its relaxed geometry.

Formation energy (no corrections) in meV per atom: 269
Polymorph energy (0 for the lowest one) in meV/atom: 194
M_tot in μB per atom: 0.000
Energy in eV/atom: -4.530

Cell: 7.587 7.587 7.587 Å, 90.00 90.00 90.00°
Space group F-43m (No. 216)
Asymmetric unit:
Sr1 0.000 0.000 0.000
Si1 0.120 0.120 0.380
Si2 0.250 0.250 0.750

***

[5]
## Sr3Si23 (PBE-GGA)

Data for crystalline Sr3Si23 at its relaxed geometry.

Formation energy (no corrections) in meV per atom: -61
M_tot in μB per atom: 0.000
Energy in eV/atom: -5.052

Cell: 10.247 10.247 10.247 Å, 90.00 90.00 90.00°
Space group Pm-3n (No. 223)
Asymmetric unit:
Sr1 0.000 0.250 0.500
Si1 0.000 0.306 0.119
Si2 0.000 0.500 0.250
Si3 0.184 0.184 0.184

***

[6]
## Sr2Si (PBE-GGA)

Data for crystalline Sr2Si at its relaxed geometry.

Formation energy (no corrections) in meV per atom: -133
M_tot in μB per atom: 0.000
Energy in eV/atom: -3.062

Cell: 17.207 3.832 7.131 Å, 90.00 113.61 90.00°
Space group C2/m (No. 12)
Asymmetric unit:
Sr1 0.003 0.000 0.229
Sr2 0.208 0.500 0.715
Si1 0.136 0.500 0.125

***

[7]
## SrTa2Si (PBE-GGA)

Data for crystalline SrTa2Si at its relaxed geometry.

Formation energy (no corrections) in meV per atom: 898
M_tot in μB per atom: 0.000
Energy in eV/atom: -6.804

Cell: 5.927 9.718 2.850 Å, 90.00 90.00 90.00°
Space group Cmmm (No. 65)
Asymmetric unit:
Sr1 0.000 0.000 0.000
Ta1 0.250 0.250 0.500
Si1 0.000 0.500 0.000

***

[8]
## SrTa2Si (PBE-GGA)

Data for crystalline SrTa2Si at its relaxed geometry.

Formation energy (no corrections) in meV per atom: 321
M_tot in μB per atom: 0.000
Energy in eV/atom: -7.382

Cell: 8.800 3.282 6.722 Å, 90.00 99.62 90.00°
Space group Cm (No. 8)
Asymmetric unit:
Sr1 0.000 0.000 0.000
Ta1 0.208 0.000 0.636
Ta2 0.472 0.000 0.464
Si1 0.244 0.500 0.336